# RbLaSc2Pb | the Alexandria database | PBE | optimized geometry
# - Fermi-level density of states (states/eV per atom) = 1.7147
# - final energy (eV per atom) = -3.99
# - theoretical density (g cm⁻³) = 4.21
# - energy of formation from the pure elements (eV/atom) = 0.4617
data_RbLaSc2Pb
_chemical_formula_sum 'Rb1 La1 Sc2 Pb1'
_cell_length_a 5.696
_cell_length_b 5.696
_cell_length_c 6.333
_cell_angle_alpha 90.00
_cell_angle_beta 90.00
_cell_angle_gamma 90.00
_symmetry_space_group_name_H-M 'P 4/m m m'
_symmetry_Int_Tables_number 123
_symmetry_space_group_name_Hall '-P 4 2'
loop_
_atom_site_label
_atom_site_fract_x
_atom_site_fract_y
_atom_site_fract_z
Rb1 0.000 0.000 0.000
La1 0.500 0.500 0.000
Sc1 0.000 0.500 0.500
Pb1 0.500 0.500 0.500

# Hf2Hg2Ge | the Alexandria database | PBE | optimized geometry
# - Fermi-level density of states (states/eV per atom) = 0.6600
# - final energy (eV per atom) = -5.08
# - theoretical density (g cm⁻³) = 12.32
# - energy of formation from the pure elements (eV/atom) = -0.0564
data_Hf2Hg2Ge
_chemical_formula_sum 'Hf4 Hg4 Ge2'
_cell_length_a 7.059
_cell_length_b 7.059
_cell_length_c 4.495
_cell_angle_alpha 90.00
_cell_angle_beta 90.00
_cell_angle_gamma 90.00
_symmetry_space_group_name_H-M 'P 4/m b m'
_symmetry_Int_Tables_number 127
_symmetry_space_group_name_Hall '-P 4 2ab'
loop_
_atom_site_label
_atom_site_fract_x
_atom_site_fract_y
_atom_site_fract_z
Hf1 0.158 0.342 0.000
Hg1 0.149 0.649 0.500
Ge1 0.000 0.000 0.000

# NaBePdF6 | the Alexandria database | PBE | optimized geometry
# - Fermi-level density of states (states/eV per atom) = 0.6667
# - final energy (eV per atom) = -4.54
# - uncorrected formation energy (meV per atom) = -2154.7
# - theoretical density (g cm⁻³) = 3.81
data_NaBePdF6
_chemical_formula_sum 'Na2 Be2 Pd2 F12'
_cell_length_a 5.0803
_cell_length_b 5.0803
_cell_length_c 9.8548
_cell_angle_alpha 90.00
_cell_angle_beta 90.00
_cell_angle_gamma 120.00
_symmetry_space_group_name_H-M 'P -3 1 c'
_symmetry_Int_Tables_number 163
_symmetry_space_group_name_Hall '-P 3 2c'
loop_
_atom_site_label
_atom_site_fract_x
_atom_site_fract_y
_atom_site_fract_z
Na1 0.0000 0.0000 0.0000
Be1 0.3333 0.6667 0.2500
Pd1 0.3333 0.6667 0.7500
F1 0.0418 0.3836 0.1465

# NbGaHSI | the Alexandria database | PBE | optimized geometry
# - final energy (eV per atom) = -4.76
# - excess energy over the best structure of this formula in the dataset (eV per formula unit) = 0.00
# - theoretical density (g cm⁻³) = 4.38
data_NbGaHSI
_chemical_formula_sum 'Nb1 Ga1 H1 S1 I1'
_cell_length_a 3.368
_cell_length_b 5.214
_cell_length_c 7.191
_cell_angle_alpha 103.91
_cell_angle_beta 93.46
_cell_angle_gamma 90.03
_symmetry_space_group_name_H-M 'P 1'
_symmetry_Int_Tables_number 1
loop_
_symmetry_equiv_pos_as_xyz
'x,y,z'
loop_
_atom_site_label
_atom_site_fract_x
_atom_site_fract_y
_atom_site_fract_z
Nb1 0.000 0.000 0.000
Ga1 0.505 0.612 0.036
H1 0.025 0.851 0.203
S1 0.527 0.291 0.205
I1 0.459 0.999 0.682

# Tm3Cu2Ni | the Alexandria database | PBE | optimized geometry
# - Fermi-level density of states (states/eV per atom) = 0.6288
# - final energy (eV per atom) = -4.91
# - excess energy over the best structure of this formula in the dataset (eV per formula unit) = 0.00
# - theoretical density (g cm⁻³) = 9.86
# - energy of formation from the pure elements (eV/atom) = -0.3491
data_Tm3Cu2Ni
_chemical_formula_sum 'Tm3 Cu2 Ni1'
_cell_length_a 3.375
_cell_length_b 3.375
_cell_length_c 10.242
_cell_angle_alpha 90.00
_cell_angle_beta 90.00
_cell_angle_gamma 90.00
_symmetry_space_group_name_H-M 'P 4/m m m'
_symmetry_Int_Tables_number 123
_symmetry_space_group_name_Hall '-P 4 2'
loop_
_atom_site_label
_atom_site_fract_x
_atom_site_fract_y
_atom_site_fract_z
Tm1 0.000 0.000 0.000
Tm2 0.000 0.000 0.340
Cu1 0.500 0.500 0.168
Ni1 0.500 0.500 0.500

# BaPrCdIn | the Alexandria database | PBE | optimized geometry
# - Fermi-level density of states (states/eV per atom) = 1.0466
# - final energy (eV per atom) = -2.89
# - theoretical density (g cm⁻³) = 6.19
# - energy of formation from the pure elements (eV/atom) = -0.2988
data_BaPrCdIn
_chemical_formula_sum 'Ba4 Pr4 Cd4 In4'
_cell_length_a 8.157
_cell_length_b 8.157
_cell_length_c 8.157
_cell_angle_alpha 90.00
_cell_angle_beta 90.00
_cell_angle_gamma 90.00
_symmetry_space_group_name_H-M 'F -4 3 m'
_symmetry_Int_Tables_number 216
_symmetry_space_group_name_Hall 'F -4 2 3'
loop_
_atom_site_label
_atom_site_fract_x
_atom_site_fract_y
_atom_site_fract_z
Ba1 0.000 0.000 0.000
Pr1 0.000 0.000 0.500
Cd1 0.250 0.250 0.250
In1 0.250 0.250 0.750

# PmErTm2 | the Alexandria database | PBE | optimized geometry
# - Fermi-level density of states (states/eV per atom) = 1.7531
# - final energy (eV per atom) = -4.35
# - excess energy over the best structure of this formula in the dataset (eV per formula unit) = 0.81
# - theoretical density (g cm⁻³) = 8.30
# - energy of formation from the pure elements (eV/atom) = 0.2136
data_PmErTm2
_chemical_formula_sum 'Pm4 Er4 Tm8'
_cell_length_a 6.907
_cell_length_b 6.880
_cell_length_c 10.954
_cell_angle_alpha 90.00
_cell_angle_beta 90.04
_cell_angle_gamma 90.00
_symmetry_space_group_name_H-M 'P 1 2/c 1'
_symmetry_Int_Tables_number 13
loop_
_symmetry_equiv_pos_as_xyz
'x,y,z'
'-x,-y,-z'
'-x,y,-z+1/2'
'x,-y,z+1/2'
loop_
_atom_site_label
_atom_site_fract_x
_atom_site_fract_y
_atom_site_fract_z
Pm1 0.126 0.127 0.388
Er1 0.376 0.377 0.613
Tm1 0.126 0.375 0.888
Tm2 0.376 0.125 0.112

# AlV2Os | the Alexandria database | PBE | optimized geometry
# - Fermi-level density of states (states/eV per atom) = 1.2089
# - final energy (eV per atom) = -7.95
# - theoretical density (g cm⁻³) = 8.30
# - energy of formation from the pure elements (eV/atom) = 0.3523
data_AlV2Os
_chemical_formula_sum 'Al4 V8 Os4'
_cell_length_a 7.091
_cell_length_b 7.091
_cell_length_c 5.076
_cell_angle_alpha 90.00
_cell_angle_beta 90.00
_cell_angle_gamma 90.00
_symmetry_space_group_name_H-M 'I -4 2 d'
_symmetry_Int_Tables_number 122
_symmetry_space_group_name_Hall 'I -4 2bw'
loop_
_atom_site_label
_atom_site_fract_x
_atom_site_fract_y
_atom_site_fract_z
Al1 0.000 0.000 0.000
V1 0.209 0.750 0.625
Os1 0.000 0.000 0.500